Entry 1:
# PBE BeOsPb2, optimized geometry
data_BeOsPb2
_cell_length_a 4.017
_cell_length_b 4.017
_cell_length_c 7.166
_cell_angle_alpha 103.34
_cell_angle_beta 103.34
_cell_angle_gamma 51.69
_symmetry_space_group_name_H-M 'P 1'
_symmetry_Int_Tables_number 1
loop_
_symmetry_equiv_pos_as_xyz
'x,y,z'
loop_
_atom_site_label
_atom_site_type_symbol
_atom_site_fract_x
_atom_site_fract_y
_atom_site_fract_z
Be1 Be 0.000 0.000 0.000
Os1 Os 0.698 0.698 0.028
Pb1 Pb 0.271 0.271 0.729
Pb2 Pb 0.452 0.452 0.309
# Symmetry: Cm
# Energy of formation from the pure elements: 0.4325 eV/atom
# D(E_F): 2.802 states/eV per cell
# Total DFT energy (no corrections): -20.643 eV for the cell shown

=====

Entry 2:
# PBE BeOsPb2, optimized geometry
data_BeOsPb2
_cell_length_a 6.112
_cell_length_b 6.112
_cell_length_c 6.112
_cell_angle_alpha 103.44
_cell_angle_beta 103.44
_cell_angle_gamma 122.35
_symmetry_space_group_name_H-M 'P 1'
_symmetry_Int_Tables_number 1
loop_
_symmetry_equiv_pos_as_xyz
'x,y,z'
loop_
_atom_site_label
_atom_site_type_symbol
_atom_site_fract_x
_atom_site_fract_y
_atom_site_fract_z
Be1 Be 0.000 0.000 0.000
Be2 Be 0.750 0.250 0.500
Os1 Os 0.250 0.750 0.500
Os2 Os 0.500 0.500 0.000
Pb1 Pb 0.118 0.625 0.993
Pb2 Pb 0.375 0.368 0.493
Pb3 Pb 0.632 0.125 0.007
Pb4 Pb 0.875 0.882 0.507
# Symmetry: I-42d
# Energy of formation from the pure elements: 1.2146 eV/atom
# D(E_F): 4.250 states/eV per cell
# Total DFT energy (no corrections): -35.029 eV for the cell shown

=====

Entry 3:
# PBE BeOsPb2, optimized geometry
data_BeOsPb2
_cell_length_a 4.505
_cell_length_b 3.345
_cell_length_c 5.708
_cell_angle_alpha 90.00
_cell_angle_beta 111.25
_cell_angle_gamma 90.00
_symmetry_space_group_name_H-M 'P 1'
_symmetry_Int_Tables_number 1
loop_
_symmetry_equiv_pos_as_xyz
'x,y,z'
loop_
_atom_site_label
_atom_site_type_symbol
_atom_site_fract_x
_atom_site_fract_y
_atom_site_fract_z
Be1 Be 0.000 0.000 0.000
Os1 Os 0.500 0.500 0.500
Pb1 Pb 0.000 0.000 0.500
Pb2 Pb 0.500 0.500 0.000
# Symmetry: P2/m
# Energy of formation from the pure elements: 1.0181 eV/atom
# D(E_F): 2.807 states/eV per cell
# Total DFT energy (no corrections): -18.300 eV for the cell shown

=====

Entry 4:
# PBE BeOsPb2, optimized geometry
data_BeOsPb2
_cell_length_a 5.325
_cell_length_b 5.325
_cell_length_c 5.325
_cell_angle_alpha 133.14
_cell_angle_beta 133.14
_cell_angle_gamma 68.44
_symmetry_space_group_name_H-M 'P 1'
_symmetry_Int_Tables_number 1
loop_
_symmetry_equiv_pos_as_xyz
'x,y,z'
loop_
_atom_site_label
_atom_site_type_symbol
_atom_site_fract_x
_atom_site_fract_y
_atom_site_fract_z
Be1 Be 0.000 0.000 0.000
Os1 Os 0.250 0.750 0.500
Pb1 Pb 0.500 0.500 0.000
Pb2 Pb 0.750 0.250 0.500
# Symmetry: I-4m2
# Energy of formation from the pure elements: 1.0635 eV/atom
# D(E_F): 3.014 states/eV per cell
# Total DFT energy (no corrections): -18.119 eV for the cell shown

=====

Entry 5:
# PBE BeOs2Pb, optimized geometry
data_BeOs2Pb
_cell_length_a 2.994
_cell_length_b 4.377
_cell_length_c 4.860
_cell_angle_alpha 90.00
_cell_angle_beta 90.00
_cell_angle_gamma 90.00
_symmetry_space_group_name_H-M 'P 1'
_symmetry_Int_Tables_number 1
loop_
_symmetry_equiv_pos_as_xyz
'x,y,z'
loop_
_atom_site_label
_atom_site_type_symbol
_atom_site_fract_x
_atom_site_fract_y
_atom_site_fract_z
Be1 Be 0.000 0.000 0.000
Os1 Os 0.000 0.500 0.500
Os2 Os 0.500 0.500 0.000
Pb1 Pb 0.500 0.000 0.500
# Symmetry: Pmmm
# Energy of formation from the pure elements: 0.9865 eV/atom
# D(E_F): 3.337 states/eV per cell
# Distance to the lowest polymorph of the same formula: 0.5588 eV/atom
# Total DFT energy (no corrections): -25.948 eV for the cell shown

=====

Entry 6:
# PBE BeOsPb3, optimized geometry
data_BeOsPb3
_cell_length_a 5.295
_cell_length_b 5.295
_cell_length_c 5.295
_cell_angle_alpha 90.00
_cell_angle_beta 90.00
_cell_angle_gamma 90.00
_symmetry_space_group_name_H-M 'P 1'
_symmetry_Int_Tables_number 1
loop_
_symmetry_equiv_pos_as_xyz
'x,y,z'
loop_
_atom_site_label
_atom_site_type_symbol
_atom_site_fract_x
_atom_site_fract_y
_atom_site_fract_z
Be1 Be 0.000 0.000 0.000
Os1 Os 0.500 0.500 0.500
Pb1 Pb 0.000 0.500 0.500
Pb2 Pb 0.500 0.000 0.500
Pb3 Pb 0.500 0.500 0.000
# Symmetry: Pm-3m
# Energy of formation from the pure elements: 0.9814 eV/atom
# D(E_F): 4.344 states/eV per cell
# Distance to the lowest polymorph of the same formula: 0.0000 eV/atom
# Total DFT energy (no corrections): -21.174 eV for the cell shown